(1)
The following is a DFT calculation (PBE) of an optimized crystal structure of DyYZnFe.

a = 6.948 Å, b = 6.948 Å, c = 6.948 Å
α = 90.00°, β = 90.00°, γ = 90.00°
Space group F-43m (No. 216)
One atom of each set of equivalent atoms:
Dy 0.000 0.000 0.000 x4
Y 0.000 0.000 0.500 x4
Zn 0.250 0.250 0.750 x4
Fe 0.250 0.250 0.250 x4

Output
energy relative to the elements = -0.071 eV per atom
M_tot = 4.8 Bohr magnetons per cell



(2)
The following is a DFT calculation (PBE) of an optimized crystal structure of DyZn11Fe.

a = 5.170 Å, b = 12.507 Å, c = 6.743 Å
α = 90.00°, β = 112.44°, γ = 90.00°
Space group C2/m (No. 12)
One atom of each set of equivalent atoms:
Dy 0.000 0.000 0.000 x2
Zn 0.000 0.500 0.500 x2
Zn 0.115 0.392 0.220 x8
Zn 0.160 0.172 0.356 x8
Zn 0.250 0.250 0.000 x4
Fe 0.000 0.000 0.500 x2

Output
energy relative to the elements = -0.142 eV per atom
M_tot = 4.6 Bohr magnetons per cell



(3)
The following is a DFT calculation (PBE) of an optimized crystal structure of DyZn8Fe4.

a = 8.734 Å, b = 8.734 Å, c = 4.999 Å
α = 90.00°, β = 90.00°, γ = 90.00°
Space group I4/mmm (No. 139)
One atom of each set of equivalent atoms:
Dy 0.000 0.000 0.000 x2
Zn 0.000 0.226 0.500 x8
Zn 0.000 0.339 0.000 x8
Fe 0.250 0.250 0.250 x8

Output
energy relative to the elements = -0.076 eV per atom
M_tot = 14.1 Bohr magnetons per cell



(4)
The following is a DFT calculation (PBE) of an optimized crystal structure of Dy4ZnFe.

a = 8.372 Å, b = 12.267 Å, c = 6.080 Å
α = 90.00°, β = 105.12°, γ = 90.00°
Space group C2/c (No. 15)
One atom of each set of equivalent atoms:
Dy 0.105 0.166 0.037 x8
Dy 0.210 0.419 0.410 x8
Zn 0.000 0.372 0.750 x4
Fe 0.000 0.002 0.250 x4

Output
energy relative to the elements = -0.109 eV per atom
M_tot = 0.0 Bohr magnetons per cell



(5)
The following is a DFT calculation (PBE) of an optimized crystal structure of Dy2ZnFe.

a = 3.427 Å, b = 3.427 Å, c = 7.162 Å
α = 90.00°, β = 90.00°, γ = 90.00°
Space group P4/mmm (No. 123)
One atom of each set of equivalent atoms:
Dy 0.000 0.000 0.227 x2
Zn 0.500 0.500 0.500 x1
Fe 0.500 0.500 0.000 x1

Output
energy relative to the elements = -0.106 eV per atom
energy above the lowest structure with this stoichiometry = 0.0000 eV/atom
M_tot = 1.1 Bohr magnetons per cell



(6)
The following is a DFT calculation (PBE) of an optimized crystal structure of DyZn9Fe3.

a = 5.042 Å, b = 12.356 Å, c = 6.668 Å
α = 90.00°, β = 111.03°, γ = 90.00°
Space group C2/m (No. 12)
One atom of each set of equivalent atoms:
Dy 0.000 0.000 0.000 x2
Zn 0.000 0.500 0.500 x2
Zn 0.113 0.387 0.223 x8
Zn 0.149 0.174 0.338 x8
Fe 0.000 0.000 0.500 x2
Fe 0.250 0.250 0.000 x4

Output
energy relative to the elements = -0.094 eV per atom
M_tot = 10.9 Bohr magnetons per cell